No. 1
Below is NbZnN2 after structural relaxation, with properties calculated at the GGA-PBE level.

The structure in POSCAR format:
```
NbZnN2
1.0
1.568 0.905 6.108
-1.568 0.905 6.108
0.000 -1.811 6.108
Nb Zn N
1 1 2
direct
0.000 0.000 0.000
0.500 0.500 0.500
0.397 0.397 0.397
0.603 0.603 0.603
```

Properties
Crystal system: trigonal
Space-group type: No. 166

No. 2
Below is Nb2ZnN2 after structural relaxation, with properties calculated at the GGA-PBE level.

The structure in POSCAR format:
```
Nb2ZnN2
1.0
-1.891 1.891 4.749
1.891 -1.891 4.749
1.891 1.891 -4.749
Nb Zn N
2 1 2
direct
0.151 0.151 0.000
0.849 0.849 0.000
0.500 0.500 0.000
0.250 0.750 0.500
0.750 0.250 0.500
```

Properties
Polymorph energy (0 for the lowest one) in eV per atom: 0.000
Crystal system: tetragonal
Space-group type: No. 139

No. 3
Below is NbZnN2 after structural relaxation, with properties calculated at the GGA-PBE level.

The structure in POSCAR format:
```
NbZnN2
1.0
-2.383 2.383 4.687
2.383 -2.383 4.687
2.383 2.383 -4.687
Nb Zn N
2 2 4
direct
0.000 0.000 0.000
0.750 0.250 0.500
0.250 0.750 0.500
0.500 0.500 0.000
0.114 0.625 0.989
0.375 0.364 0.489
0.636 0.125 0.011
0.875 0.886 0.511
```

Properties
Crystal system: tetragonal
Space-group type: No. 122

No. 4
Below is Nb3Zn2N after structural relaxation, with properties calculated at the GGA-PBE level.

The structure in POSCAR format:
```
Nb3Zn2N
1.0
7.037 0.000 0.000
0.000 7.037 0.000
0.000 0.000 7.037
Nb Zn N
12 8 4
direct
0.041 0.125 0.791
0.125 0.791 0.041
0.209 0.541 0.375
0.291 0.459 0.875
0.375 0.209 0.541
0.459 0.875 0.291
0.541 0.375 0.209
0.625 0.709 0.959
0.709 0.959 0.625
0.791 0.041 0.125
0.875 0.291 0.459
0.959 0.625 0.709
0.072 0.928 0.428
0.178 0.178 0.178
0.322 0.822 0.678
0.428 0.072 0.928
0.572 0.572 0.572
0.678 0.322 0.822
0.822 0.678 0.322
0.928 0.428 0.072
0.125 0.375 0.625
0.375 0.625 0.125
0.625 0.125 0.375
0.875 0.875 0.875
```

Properties
Crystal system: cubic
Space-group type: No. 213

No. 5
Below is Nb2ZnN2 after structural relaxation, with properties calculated at the GGA-PBE level.

The structure in POSCAR format:
```
Nb2ZnN2
1.0
6.562 0.000 0.000
0.000 6.562 0.000
0.000 0.000 2.845
Nb Zn N
4 2 4
direct
0.146 0.354 0.000
0.354 0.854 0.000
0.646 0.146 0.000
0.854 0.646 0.000
0.000 0.000 0.000
0.500 0.500 0.000
0.135 0.635 0.500
0.365 0.135 0.500
0.635 0.865 0.500
0.865 0.365 0.500
```

Properties
Polymorph energy (0 for the lowest one) in eV per atom: 0.486
Crystal system: tetragonal
Space-group type: No. 127

No. 6
Below is ZrNbZnN2 after structural relaxation, with properties calculated at the GGA-PBE level.

The structure in POSCAR format:
```
ZrNbZnN2
1.0
4.049 0.000 0.000
0.000 4.049 0.000
0.000 0.000 4.920
Zr Nb Zn N
1 1 1 2
direct
0.000 0.000 0.000
0.500 0.500 0.500
0.500 0.500 0.000
0.000 0.500 0.500
0.500 0.000 0.500
```

Properties
Crystal system: tetragonal
Space-group type: No. 123

No. 7
Below is ZrNbN after structural relaxation, with properties calculated at the GGA-PBE level.

The structure in POSCAR format:
```
ZrNbN
1.0
3.340 0.000 0.000
0.000 3.340 0.000
0.000 0.000 7.931
Zr Nb N
2 2 2
direct
0.250 0.250 0.143
0.750 0.750 0.857
0.250 0.250 0.587
0.750 0.750 0.413
0.250 0.250 0.861
0.750 0.750 0.139
```

Properties
Polymorph energy (0 for the lowest one) in eV per atom: 0.000
Crystal system: tetragonal
Space-group type: No. 129

No. 8
Below is Zr3NbN4 after structural relaxation, with properties calculated at the GGA-PBE level.

The structure in POSCAR format:
```
Zr3NbN4
1.0
4.548 0.000 0.000
0.000 7.579 0.000
0.000 0.000 6.491
Zr Nb N
6 2 8
direct
0.250 0.001 0.170
0.250 0.499 0.170
0.250 0.750 0.656
0.750 0.250 0.344
0.750 0.501 0.830
0.750 0.999 0.830
0.250 0.250 0.674
0.750 0.750 0.326
0.250 0.250 0.342
0.250 0.501 0.832
0.250 0.750 0.323
0.250 0.999 0.832
0.750 0.001 0.168
0.750 0.250 0.677
0.750 0.499 0.168
0.750 0.750 0.658
```

Properties
Polymorph energy (0 for the lowest one) in eV per atom: 0.116
Crystal system: orthorhombic
Space-group type: No. 59

No. 9
Below is Zr2NbN after structural relaxation, with properties calculated at the GGA-PBE level.

The structure in POSCAR format:
```
Zr2NbN
1.0
2.893 0.000 0.000
0.000 2.893 0.000
0.000 0.000 7.807
Zr Nb N
2 1 1
direct
0.000 0.000 0.180
0.000 0.000 0.820
0.500 0.500 0.500
0.500 0.500 0.000
```

Properties
Crystal system: tetragonal
Space-group type: No. 123

No. 10
Below is ZrNbN after structural relaxation, with properties calculated at the GGA-PBE level.

The structure in POSCAR format:
```
ZrNbN
1.0
3.209 0.000 0.000
-1.604 2.779 0.000
0.000 0.000 5.089
Zr Nb N
1 1 1
direct
0.000 0.000 0.000
0.667 0.333 0.502
0.333 0.667 0.742
```

Properties
Polymorph energy (0 for the lowest one) in eV per atom: 0.101
Crystal system: trigonal
Space-group type: No. 156

No. 11
Below is Zr2NbN after structural relaxation, with properties calculated at the GGA-PBE level.

The structure in POSCAR format:
```
Zr2NbN
1.0
1.589 0.917 8.184
-1.589 0.917 8.184
0.000 -1.835 8.184
Zr Nb N
2 1 1
direct
0.113 0.113 0.113
0.887 0.887 0.887
0.000 0.000 0.000
0.500 0.500 0.500
```

Properties
Crystal system: trigonal
Space-group type: No. 166

No. 12
Below is ZrNbN after structural relaxation, with properties calculated at the GGA-PBE level.

The structure in POSCAR format:
```
ZrNbN
1.0
6.725 0.000 0.000
0.000 2.492 2.753
0.000 -2.492 2.753
Zr Nb N
2 2 2
direct
0.141 0.250 0.750
0.859 0.750 0.250
0.500 0.165 0.165
0.500 0.665 0.665
0.195 0.863 0.363
0.805 0.363 0.863
```

Properties
Polymorph energy (0 for the lowest one) in eV per atom: 0.840
Crystal system: orthorhombic
Space-group type: No. 39

No. 13
Below is Zr2NbN2 after structural relaxation, with properties calculated at the GGA-PBE level.

The structure in POSCAR format:
```
Zr2NbN2
1.0
-1.621 1.621 6.639
1.621 -1.621 6.639
1.621 1.621 -6.639
Zr Nb N
2 1 2
direct
0.163 0.163 0.000
0.837 0.837 0.000
0.500 0.500 0.000
0.333 0.333 0.000
0.667 0.667 0.000
```

Properties
Crystal system: tetragonal
Space-group type: No. 139

No. 14
Below is Zr3NbN4 after structural relaxation, with properties calculated at the GGA-PBE level.

The structure in POSCAR format:
```
Zr3NbN4
1.0
1.618 0.934 10.544
-1.618 0.934 10.544
0.000 -1.869 10.544
Zr Nb N
3 1 4
direct
0.000 0.000 0.000
0.248 0.248 0.248
0.752 0.752 0.752
0.500 0.500 0.500
0.126 0.126 0.126
0.376 0.376 0.376
0.624 0.624 0.624
0.874 0.874 0.874
```

Properties
Polymorph energy (0 for the lowest one) in eV per atom: 0.000
Crystal system: trigonal
Space-group type: No. 166

No. 15
Below is Zr3Nb3N after structural relaxation, with properties calculated at the GGA-PBE level.

The structure in POSCAR format:
```
Zr3Nb3N
1.0
0.000 6.329 6.329
6.329 0.000 6.329
6.329 6.329 0.000
Zr Nb N
12 12 4
direct
0.058 0.058 0.692
0.058 0.692 0.058
0.058 0.692 0.692
0.308 0.308 0.942
0.308 0.942 0.308
0.308 0.942 0.942
0.692 0.058 0.058
0.692 0.058 0.692
0.692 0.692 0.058
0.942 0.308 0.308
0.942 0.308 0.942
0.942 0.942 0.308
0.000 0.500 0.500
0.291 0.291 0.291
0.291 0.291 0.627
0.291 0.627 0.291
0.373 0.709 0.709
0.500 0.000 0.500
0.500 0.500 0.000
0.500 0.500 0.500
0.627 0.291 0.291
0.709 0.373 0.709
0.709 0.709 0.373
0.709 0.709 0.709
0.000 0.000 0.000
0.000 0.000 0.500
0.000 0.500 0.000
0.500 0.000 0.000
```

Properties
Crystal system: cubic
Space-group type: No. 227

No. 16
Below is ZrNb2N4 after structural relaxation, with properties calculated at the GGA-PBE level.

The structure in POSCAR format:
```
ZrNb2N4
1.0
-2.118 2.118 5.396
2.118 -2.118 5.396
2.118 2.118 -5.396
Zr Nb N
1 2 4
direct
0.000 0.000 0.000
0.372 0.372 0.000
0.628 0.628 0.000
0.000 0.500 0.500
0.207 0.207 0.000
0.500 0.000 0.500
0.793 0.793 0.000
```

Properties
Polymorph energy (0 for the lowest one) in eV per atom: 0.906
Crystal system: tetragonal
Space-group type: No. 139

No. 17
Below is ZrNb2N4 after structural relaxation, with properties calculated at the GGA-PBE level.

The structure in POSCAR format:
```
ZrNb2N4
1.0
1.532 -5.059 0.000
1.532 5.059 0.000
0.000 0.000 10.421
Zr Nb N
2 4 8
direct
0.123 0.877 0.750
0.877 0.123 0.250
0.371 0.629 0.570
0.371 0.629 0.930
0.629 0.371 0.070
0.629 0.371 0.430
0.000 0.000 0.000
0.000 0.000 0.500
0.274 0.726 0.122
0.274 0.726 0.378
0.463 0.537 0.750
0.537 0.463 0.250
0.726 0.274 0.622
0.726 0.274 0.878
```

Properties
Polymorph energy (0 for the lowest one) in eV per atom: 0.000
Crystal system: orthorhombic
Space-group type: No. 63

No. 18
Below is Zr3NbN3 after structural relaxation, with properties calculated at the GGA-PBE level.

The structure in POSCAR format:
```
Zr3NbN3
1.0
4.464 -4.562 0.000
4.464 4.562 0.000
0.000 0.000 4.649
Zr Nb N
6 2 6
direct
0.120 0.880 0.750
0.131 0.380 0.750
0.380 0.131 0.250
0.620 0.869 0.750
0.869 0.620 0.250
0.880 0.120 0.250
0.367 0.633 0.250
0.633 0.367 0.750
0.126 0.874 0.250
0.129 0.378 0.250
0.378 0.129 0.750
0.622 0.871 0.250
0.871 0.622 0.750
0.874 0.126 0.750
```

Properties
Crystal system: orthorhombic
Space-group type: No. 63

No. 19
Below is ZrNb2N3 after structural relaxation, with properties calculated at the GGA-PBE level.

The structure in POSCAR format:
```
ZrNb2N3
1.0
-1.584 2.246 4.847
1.584 -2.246 4.847
1.584 2.246 -4.847
Zr Nb N
1 2 3
direct
0.000 0.000 0.000
0.321 0.321 0.000
0.679 0.679 0.000
0.161 0.661 0.500
0.500 0.000 0.500
0.839 0.339 0.500
```

Properties
Crystal system: orthorhombic
Space-group type: No. 71

No. 20
Below is Zr2NbN after structural relaxation, with properties calculated at the GGA-PBE level.

The structure in POSCAR format:
```
Zr2NbN
1.0
-3.200 3.200 3.893
3.200 -3.200 3.893
3.200 3.200 -3.893
Zr Nb N
4 2 2
direct
0.020 0.125 0.395
0.375 0.980 0.105
0.730 0.625 0.605
0.875 0.270 0.895
0.250 0.750 0.500
0.500 0.500 0.000
0.000 0.000 0.000
0.750 0.250 0.500
```

Properties
Crystal system: tetragonal
Space-group type: No. 122

Number 1: total magnetization 0.00 μB per formula unit, mass density 5.95 Mg/m³, E_form (uncorrected) -0.368 eV per atom. Number 2: total magnetization 0.00 μB per formula unit, mass density 6.83 Mg/m³, E_form (uncorrected) -0.401 eV per atom. Number 3: total magnetization 0.00 μB per formula unit, mass density 5.81 Mg/m³, E_form (uncorrected) -0.371 eV per atom. Number 4: total magnetization 0.00 μB per formula unit, mass density 8.07 Mg/m³, E_form (uncorrected) -0.568 eV per atom. Number 5: total magnetization 0.00 μB per formula unit, mass density 7.57 Mg/m³, E_form (uncorrected) 0.084 eV per atom. Number 6: total magnetization 0.00 μB per formula unit, mass density 5.71 Mg/m³, E_form (uncorrected) 0.364 eV per atom. Number 7: total magnetization 0.00 μB per formula unit, mass density 7.44 Mg/m³, E_form (uncorrected) -1.094 eV per atom. Number 8: total magnetization 0.00 μB per formula unit, mass density 6.27 Mg/m³, E_form (uncorrected) -1.375 eV per atom. Number 9: total magnetization 0.00 μB per formula unit, mass density 7.36 Mg/m³, E_form (uncorrected) -0.239 eV per atom. Number 10: total magnetization 0.00 μB per formula unit, mass density 7.25 Mg/m³, E_form (uncorrected) -0.994 eV per atom. Number 11: total magnetization 0.00 μB per formula unit, mass density 6.71 Mg/m³, E_form (uncorrected) -0.496 eV per atom. Number 12: total magnetization 0.00 μB per formula unit, mass density 7.13 Mg/m³, E_form (uncorrected) -0.255 eV per atom. Number 13: total magnetization 0.00 μB per formula unit, mass density 7.22 Mg/m³, E_form (uncorrected) -1.261 eV per atom. Number 14: total magnetization 0.00 μB per formula unit, mass density 7.34 Mg/m³, E_form (uncorrected) -1.492 eV per atom. Number 15: total magnetization 0.00 μB per formula unit, mass density 7.42 Mg/m³, E_form (uncorrected) -0.485 eV per atom. Number 16: total magnetization 0.63 μB per formula unit, mass density 5.71 Mg/m³, E_form (uncorrected) -0.181 eV per atom. Number 17: total magnetization 0.00 μB per formula unit, mass density 6.85 Mg/m³, E_form (uncorrected) -1.087 eV per atom. Number 18: total magnetization 0.00 μB per formula unit, mass density 7.17 Mg/m³, E_form (uncorrected) -1.390 eV per atom. Number 19: total magnetization 0.00 μB per formula unit, mass density 7.68 Mg/m³, E_form (uncorrected) -1.161 eV per atom. Number 20: total magnetization 0.00 μB per formula unit, mass density 6.03 Mg/m³, E_form (uncorrected) -0.084 eV per atom.